First-principles (PBE-GGA) data for a relaxed structure of KAl, as listed in Alexandria via LeMat-Bulk.

Computed properties:
The mass density is 1.621 g cm⁻³. For the formation energy, the calculation gives 525.2 meV/atom. The space group is No. 123. The value obtained for the energy above the lowest structure with this stoichiometry is 408 meV per atom.

Unit cell a=6.6956 b=6.6956 c=3.0206 alpha=90.00 beta=90.00 gamma=90.00
Atoms (fractional coordinates):
Al (0.7500, 0.7500, 0.5008)
K (0.2500, 0.7500, 0.0000)
K (0.7500, 0.2500, 0.0000)
Al (0.2500, 0.2500, 0.4992)